No. 1
## SbPHO2 (PBE-GGA)

Data for an optimized crystal structure of SbPHO2.

a = 3.8235 Å, b = 3.8235 Å, c = 5.5001 Å
α = 90.00°, β = 90.00°, γ = 90.00°
With the nearest neighbours (Å) after each atom.
Element x y z (fractional)
Sb 0.0000 0.0000 0.0000  4 O 1.91
P 0.0000 0.0000 0.5000  4 H 2.70, 2 Sb 2.75
H 0.5000 0.5000 0.5000  4 P 2.70
O 0.0000 0.5000 0.0000  2 Sb 1.91
O 0.5000 0.0000 0.0000  2 Sb 1.91

Summary:
SG: No. 123
Relative energy among the computed polymorphs, meV per atom: 0

---

No. 2
## CePrHoAl (PBE-GGA)

Data for an optimized crystal structure of CePrHoAl.

a = 5.4171 Å, b = 5.4171 Å, c = 5.4171 Å
α = 60.00°, β = 60.00°, γ = 60.00°
With the nearest neighbours (Å) after each atom.
Element x y z (fractional)
Ce 0.0000 0.0000 0.0000  4 Ho 3.32, 4 Al 3.32
Pr 0.5000 0.5000 0.5000  4 Ho 3.32, 4 Al 3.32
Ho 0.7500 0.7500 0.7500  4 Pr 3.32, 4 Ce 3.32
Al 0.2500 0.2500 0.2500  4 Pr 3.32, 4 Ce 3.32

Summary:
SG: No. 216
DFT formation energy, eV/f.u.: -0.04

---

No. 3
## HgMoBr2 (PBE-GGA)

Data for an optimized crystal structure of HgMoBr2.

a = 4.1213 Å, b = 4.2130 Å, c = 6.3721 Å
α = 90.00°, β = 90.00°, γ = 90.00°
With the nearest neighbours (Å) after each atom.
Element x y z (fractional)
Hg 0.0000 0.0000 0.0000  4 Br 2.95
Mo 0.5000 0.0000 0.5000  4 Br 2.95
Br 0.0000 0.5000 0.5000  4 Mo 2.95
Br 0.5000 0.5000 0.0000  4 Hg 2.95

Summary:
SG: No. 47
Energy relative to the elements, uncorrected, eV/atom: 0.6070
Relative energy among the computed polymorphs, meV per atom: 642

---

No. 4
## Tm8Pt2Au (PBE-GGA)

Data for an optimized crystal structure of Tm8Pt2Au.

a = 7.7335 Å, b = 7.7335 Å, c = 5.5929 Å
α = 99.34°, β = 99.34°, γ = 113.83°
With the nearest neighbours (Å) after each atom.
Element x y z (fractional)
Tm 0.0000 0.0000 0.0000  2 Pt 3.07, 1 Au 3.08, 1 Tm 3.42
Tm 0.0367 0.2920 0.5867  2 Pt 2.82-2.85
Tm 0.1442 0.5980 0.1865  2 Pt 2.98, 1 Au 3.00
Tm 0.2920 0.0367 0.5867  2 Pt 2.82-2.85
Tm 0.4518 0.7066 0.7752  2 Pt 2.80-2.85
Tm 0.5980 0.1442 0.1865  2 Pt 2.98, 1 Au 3.00
Tm 0.7066 0.4518 0.7752  2 Pt 2.80-2.85
Tm 0.7424 0.7424 0.3707  1 Au 3.04, 2 Pt 3.09
Pt 0.0671 0.6780 0.6871  8 Tm 2.80-3.09
Pt 0.6780 0.0671 0.6871  8 Tm 2.80-3.09
Au 0.3708 0.3708 0.2958  8 Tm 3.00-3.19

Summary:
SG: No. 8
DFT formation energy, eV/f.u.: -6.36

---

No. 5
## Dy2MgAl2 (PBE-GGA)

Data for an optimized crystal structure of Dy2MgAl2.

a = 7.8116 Å, b = 7.8116 Å, c = 3.5750 Å
α = 90.00°, β = 90.00°, γ = 146.82°
With the nearest neighbours (Å) after each atom.
Element x y z (fractional)
Dy 0.1238 0.8762 0.0000  6 Al 3.09-3.16, 4 Mg 3.41
Dy 0.8762 0.1238 0.0000  6 Al 3.09-3.16, 4 Mg 3.41
Mg 0.5000 0.5000 0.5000  2 Al 3.03
Al 0.2975 0.7025 0.5000  2 Al 2.64
Al 0.7025 0.2975 0.5000  2 Al 2.64

Summary:
SG: No. 65
DFT formation energy, eV/f.u.: -1.71

---

No. 6
## Li2Ac2CdPd5 (PBE-GGA)

Data for an optimized crystal structure of Li2Ac2CdPd5.

a = 9.8698 Å, b = 9.8698 Å, c = 3.9483 Å
α = 90.00°, β = 90.00°, γ = 90.00°
With the nearest neighbours (Å) after each atom.
Element x y z (fractional)
Li 0.1158 0.3842 0.0000  6 Pd 2.55-2.65, 1 Ac 2.83
Li 0.3842 0.8842 0.0000  6 Pd 2.55-2.65, 1 Ac 2.83
Li 0.6158 0.1158 0.0000  6 Pd 2.55-2.65, 1 Ac 2.83
Li 0.8842 0.6158 0.0000  6 Pd 2.55-2.65, 1 Ac 2.83
Ac 0.1815 0.6815 0.0000  3 Li 2.83-3.01
Ac 0.3185 0.1815 0.0000  3 Li 2.83-3.01
Ac 0.6815 0.8185 0.0000  3 Li 2.83-3.01
Ac 0.8185 0.3185 0.0000  3 Li 2.83-3.01
Cd 0.0000 0.0000 0.0000  8 Pd 2.95
Cd 0.5000 0.5000 0.0000  8 Pd 2.95
Pd 0.0000 0.5000 0.5000  4 Li 2.55
Pd 0.0646 0.2120 0.5000  2 Li 2.65, 1 Pd 2.91, 2 Cd 2.95
Pd 0.2120 0.9354 0.5000  2 Li 2.65, 1 Pd 2.91, 2 Cd 2.95
Pd 0.2880 0.4354 0.5000  2 Li 2.65, 1 Pd 2.91, 2 Cd 2.95
Pd 0.4354 0.7120 0.5000  2 Li 2.65, 1 Pd 2.91, 2 Cd 2.95
Pd 0.5000 0.0000 0.5000  4 Li 2.55
Pd 0.5646 0.2880 0.5000  2 Li 2.65, 1 Pd 2.91, 2 Cd 2.95
Pd 0.7120 0.5646 0.5000  2 Li 2.65, 1 Pd 2.91, 2 Cd 2.95
Pd 0.7880 0.0646 0.5000  2 Li 2.65, 1 Pd 2.91, 2 Cd 2.95
Pd 0.9354 0.7880 0.5000  2 Li 2.65, 1 Pd 2.91, 2 Cd 2.95

Summary:
SG: No. 127
DFT formation energy, eV/f.u.: -6.01

---

No. 7
## BaSrPtPbCl (PBE-GGA)

Data for an optimized crystal structure of BaSrPtPbCl.

a = 4.9108 Å, b = 4.9108 Å, c = 8.7792 Å
α = 100.91°, β = 100.91°, γ = 54.72°
With the nearest neighbours (Å) after each atom.
Element x y z (fractional)
Ba 0.0000 0.0000 0.0000  3 Cl 3.43-3.49, 2 Pt 3.47, 3 Pb 3.50-3.52
Sr 0.0981 0.0981 0.4950  2 Pt 3.19, 2 Cl 3.20, 3 Pb 3.43-3.50
Pt 0.6927 0.6927 0.2746  3 Pb 2.76-2.78
Pb 0.3696 0.3696 0.2533  3 Pt 2.76-2.78
Cl 0.6259 0.6259 0.7584  2 Sr 3.20, 3 Ba 3.43-3.49

Summary:
SG: No. 8
Energy relative to the elements, uncorrected, eV/atom: -1.1682
Relative energy among the computed polymorphs, meV per atom: 19

---

No. 8
## Ta2CuTe (PBE-GGA)

Data for an optimized crystal structure of Ta2CuTe.

a = 8.9006 Å, b = 8.9006 Å, c = 8.9006 Å
α = 20.20°, β = 20.20°, γ = 20.20°
With the nearest neighbours (Å) after each atom.
Element x y z (fractional)
Ta 0.2448 0.2448 0.2448  3 Cu 2.72, 3 Te 2.93
Ta 0.7552 0.7552 0.7552  3 Cu 2.72, 3 Te 2.93
Cu 0.5000 0.5000 0.5000  6 Ta 2.72
Te 0.0000 0.0000 0.0000  6 Ta 2.93, 6 Te 3.12

Summary:
SG: No. 166
Energy relative to the elements, uncorrected, eV/atom: 0.4579

---

Question: Number 1 is which compound?
Answer: SbPHO2

---

Repeat the first record exactly.
## SbPHO2 (PBE-GGA)

Data for an optimized crystal structure of SbPHO2.

a = 3.8235 Å, b = 3.8235 Å, c = 5.5001 Å
α = 90.00°, β = 90.00°, γ = 90.00°
With the nearest neighbours (Å) after each atom.
Element x y z (fractional)
Sb 0.0000 0.0000 0.0000  4 O 1.91
P 0.0000 0.0000 0.5000  4 H 2.70, 2 Sb 2.75
H 0.5000 0.5000 0.5000  4 P 2.70
O 0.0000 0.5000 0.0000  2 Sb 1.91
O 0.5000 0.0000 0.0000  2 Sb 1.91

Summary:
SG: No. 123
Relative energy among the computed polymorphs, meV per atom: 0